! PaCuGe PBE-GGA optimized geometry; values from VASP
! - DFT formation energy: -0.375 eV per atom
! - DOS at the Fermi energy: 0.849 states/eV per atom
! - Energy above the most stable polymorph in this dataset: 0 kJ/mol of formula units
&SYSTEM
  ibrav = 0, nat = 6, ntyp = 3
/
ATOMIC_SPECIES
Pa 231.04 Pa.upf
Cu 63.55 Cu.upf
Ge 72.64 Ge.upf
ATOMIC_POSITIONS angstrom
Pa 0.0000 0.0000 0.0000
Pa 3.8789 -0.5615 0.1904
Cu 1.6326 -1.7855 1.9086
Cu 5.5035 -3.1594 -0.1337
Ge 1.6245 -2.5984 -0.3241
Ge 5.5116 -2.3465 2.0990
CELL_PARAMETERS angstrom
-0.2987 -0.6914 4.0462
-0.3230 -3.1305 -2.6520
7.7579 -1.1230 0.3807

---

! Pm3CdHg7 PBE-GGA optimized geometry; values from VASP
! - DFT formation energy: -0.187 eV per atom
! - DOS at the Fermi energy: 0.867 states/eV per atom
&SYSTEM
  ibrav = 0, nat = 22, ntyp = 3
/
ATOMIC_SPECIES
Pm 145.00 Pm.upf
Cd 112.41 Cd.upf
Hg 200.59 Hg.upf
ATOMIC_POSITIONS angstrom
Pm -3.4603 0.1932 3.9413
Pm -14.5044 -4.9402 2.6193
Pm -7.7825 -0.9652 6.5232
Pm -10.1822 -3.7819 0.0374
Pm -1.9205 -0.9786 0.3711
Pm -16.0443 -3.7684 6.1895
Cd -12.8064 -5.7188 -0.4587
Cd -5.1583 0.9718 7.0193
Hg -13.1300 -4.9122 5.5124
Hg -4.8348 0.1652 1.0482
Hg -13.9799 -7.9234 1.3641
Hg -3.9848 3.1764 5.1965
Hg -5.0552 3.9909 7.6781
Hg -12.9095 -8.7380 -1.1175
Hg -11.3768 -5.6532 2.4398
Hg -6.5879 0.9062 4.1208
Hg -8.7510 -3.7645 2.8535
Hg -9.2137 -0.9826 3.7071
Hg -10.6835 0.1360 7.1151
Hg -7.2812 -4.8830 -0.5545
Hg -9.8410 -6.8219 -1.1210
Hg -8.1237 2.0749 7.6817
CELL_PARAMETERS angstrom
-1.8314 2.9297 -1.7515
-11.8826 -10.9115 -1.5436
-4.2507 3.2348 9.8556

---

! ScZn12 PBE-GGA optimized geometry; values from VASP
! - DFT formation energy: -0.124 eV per atom
! - DOS at the Fermi energy: 0.261 states/eV per atom
! - Energy above the most stable polymorph in this dataset: 0 kJ/mol of formula units
&SYSTEM
  ibrav = 0, nat = 13, ntyp = 2
/
ATOMIC_SPECIES
Sc 44.96 Sc.upf
Zn 65.41 Zn.upf
ATOMIC_POSITIONS angstrom
Sc 0.0000 0.0000 0.0000
Zn -1.2223 -3.1239 -0.0261
Zn -1.2232 -0.0984 3.1221
Zn 1.3983 -0.0217 3.0492
Zn -1.3992 3.0472 0.0990
Zn -0.0006 2.1196 2.2056
Zn 0.2287 -4.0874 3.9282
Zn 0.1233 -2.2038 2.1179
Zn -0.0011 3.9313 4.0908
Zn 0.1755 -1.4197 4.8189
Zn -2.5459 -1.4278 1.3715
Zn 0.0995 1.2311 4.8727
Zn -2.6219 1.2230 1.4252
CELL_PARAMETERS angstrom
-2.7984 6.0945 0.1980
-2.4446 -6.2477 -0.0522
2.7966 -0.0435 6.0983

---

! Dy8CoHg2 PBE-GGA optimized geometry; values from VASP
! - DFT formation energy: -0.195 eV per atom
! - DOS at the Fermi energy: 0.753 states/eV per atom
&SYSTEM
  ibrav = 0, nat = 11, ntyp = 3
/
ATOMIC_SPECIES
Dy 162.50 Dy.upf
Co 58.93 Co.upf
Hg 200.59 Hg.upf
ATOMIC_POSITIONS angstrom
Dy 0.0000 1.6176 6.8881
Dy 2.6348 5.6466 2.5667
Dy 2.6348 3.0855 5.0381
Dy 2.6348 -1.2084 7.9360
Dy 0.0000 0.9104 3.3496
Dy 0.0000 -1.6508 5.8210
Dy 2.6348 2.3783 1.4996
Dy 0.0000 5.2042 0.4518
Co 2.6348 0.0000 0.0000
Hg 2.6348 0.1320 5.2284
Hg 0.0000 3.8638 3.1593
CELL_PARAMETERS angstrom
5.2696 0.0000 0.0000
0.0000 6.7851 0.1033
-2.6348 -2.7892 8.2844

---

! Dy5Er2Sc PBE-GGA optimized geometry; values from VASP
! - DFT formation energy: 0.012 eV per atom
! - DOS at the Fermi energy: 1.712 states/eV per atom
! - Energy above the most stable polymorph in this dataset: 0 kJ/mol of formula units
&SYSTEM
  ibrav = 0, nat = 8, ntyp = 3
/
ATOMIC_SPECIES
Dy 162.50 Dy.upf
Er 167.26 Er.upf
Sc 44.96 Sc.upf
ATOMIC_POSITIONS angstrom
Dy 2.6565 -0.3830 0.9021
Dy 1.1705 -3.5362 -2.6714
Dy 3.0387 -0.9466 5.8134
Dy 2.5552 -3.9265 0.4917
Dy -0.3216 -2.0156 0.2324
Er 4.1111 -1.8820 -2.0250
Er 1.1278 -2.4216 3.3695
Sc 4.5127 -2.4729 2.9422
CELL_PARAMETERS angstrom
-3.1692 -4.0744 4.9365
2.9610 -3.0117 -5.7602
4.9326 3.0850 3.1333

---

! NaLi2MgB PBE-GGA optimized geometry; values from VASP
! - DFT formation energy: 1.330 eV per atom
! - DOS at the Fermi energy: 0.491 states/eV per atom
&SYSTEM
  ibrav = 0, nat = 5, ntyp = 4
/
ATOMIC_SPECIES
Na 22.99 Na.upf
Mg 24.30 Mg.upf
B 10.81 B.upf
Li 6.94 Li.upf
ATOMIC_POSITIONS angstrom
Na 0.0000 0.0000 0.0000
Mg 1.4388 -1.3711 1.7881
B 3.2788 1.2457 2.3141
Li 1.9300 0.8347 -0.9130
Li -0.0900 1.7822 1.4390
CELL_PARAMETERS angstrom
-0.1801 3.5643 2.8780
2.8777 -2.7422 3.5762
3.8599 1.6694 -1.8259

---

! Zn6CoNi5 PBE-GGA optimized geometry; values from VASP
! - DFT formation energy: -0.200 eV per atom
! - DOS at the Fermi energy: 0.376 states/eV per atom
&SYSTEM
  ibrav = 0, nat = 12, ntyp = 3
/
ATOMIC_SPECIES
Ni 58.69 Ni.upf
Zn 65.41 Zn.upf
Co 58.93 Co.upf
ATOMIC_POSITIONS angstrom
Ni 2.5154 3.0759 4.9857
Ni 1.2469 -0.0112 2.4975
Ni 0.0167 3.0983 0.0056
Ni 2.4962 -0.0224 4.9877
Ni 1.2610 3.0871 2.5106
Zn 3.1466 4.6321 3.1197
Zn 3.1298 1.5196 3.1141
Zn 1.8797 1.5314 0.6264
Zn 1.8964 4.6428 0.6320
Zn 0.6467 4.6433 4.3822
Zn 0.6298 1.5308 4.3766
Co 0.0000 0.0000 0.0000
CELL_PARAMETERS angstrom
3.7427 -0.0224 1.2473
0.0334 6.1966 0.0111
0.0004 -0.0112 6.2379

---

! YV3Se PBE-GGA optimized geometry; values from VASP
! - DOS at the Fermi energy: 1.780 states/eV per atom
! - Energy above the most stable polymorph in this dataset: 795 kJ/mol of formula units
&SYSTEM
  ibrav = 0, nat = 5, ntyp = 3
/
ATOMIC_SPECIES
Y 88.91 Y.upf
Se 78.96 Se.upf
V 50.94 V.upf
ATOMIC_POSITIONS angstrom
Y 0.0000 0.0000 0.0000
Se 2.4302 2.4302 2.4302
V 0.0000 2.4302 0.0000
V 0.0000 0.0000 2.4302
V 2.4302 0.0000 0.0000
CELL_PARAMETERS angstrom
4.8605 0.0000 0.0000
0.0000 4.8605 0.0000
0.0000 0.0000 4.8605

---

! Np4P6Rh5 PBE-GGA optimized geometry; values from VASP
! - DFT formation energy: -0.793 eV per atom
! - DOS at the Fermi energy: 2.106 states/eV per atom
&SYSTEM
  ibrav = 0, nat = 30, ntyp = 3
/
ATOMIC_SPECIES
Np 237.00 Np.upf
P 30.97 P.upf
Rh 102.91 Rh.upf
ATOMIC_POSITIONS angstrom
Np 1.9598 8.8292 3.9417
Np 0.0000 0.3917 11.1841
Np 0.0000 3.0814 4.4588
Np 1.9598 6.1395 11.7012
Np 1.9598 5.8582 6.3955
Np 0.0000 3.3626 13.6378
Np 0.0000 0.0728 7.2389
Np 1.9598 9.1480 14.4812
P 1.9598 4.9903 3.6998
P 0.0000 7.6956 5.7460
P 1.9598 5.1782 14.4024
P 0.0000 4.0427 7.1600
P 0.0000 7.9425 12.4930
P 1.9598 1.2784 5.2506
P 0.0000 7.8145 1.8959
P 1.9598 1.4064 9.1383
P 0.0000 2.2486 1.7313
P 1.9598 6.9722 8.9737
P 1.9598 1.5253 12.9884
P 0.0000 4.2306 10.9422
Rh 0.0000 8.2908 9.6756
Rh 1.9598 0.9301 2.4332
Rh 0.0000 2.7098 9.1057
Rh 1.9598 6.5111 1.8634
Rh 1.9598 2.6790 7.0947
Rh 0.0000 6.5418 14.3370
Rh 0.0000 5.5695 9.0165
Rh 1.9598 3.6513 1.7741
Rh 0.0000 6.3060 3.8527
Rh 1.9598 2.9149 11.0950
CELL_PARAMETERS angstrom
3.9197 0.0000 0.0000
-1.9598 9.2209 0.0000
0.0000 0.0000 14.4847

---

! TbCe3Sb4 PBE-GGA optimized geometry; values from VASP
! - DOS at the Fermi energy: 2.594 states/eV per atom
! - Energy above the most stable polymorph in this dataset: 0 kJ/mol of formula units
&SYSTEM
  ibrav = 0, nat = 8, ntyp = 3
/
ATOMIC_SPECIES
Tb 158.93 Tb.upf
Ce 140.12 Ce.upf
Sb 121.76 Sb.upf
ATOMIC_POSITIONS angstrom
Tb -1.7649 -0.2140 -1.3628
Ce -0.7426 -3.4887 1.5097
Ce -0.1230 -4.0873 -2.8809
Ce 2.3845 -0.3845 -3.0279
Sb 0.8096 -1.9097 -0.7485
Sb 1.4522 -2.5236 -5.1666
Sb 2.4743 -5.8368 -2.2878
Sb -1.6982 -5.6509 -0.5953
CELL_PARAMETERS angstrom
-3.5299 -0.4281 -2.7255
4.7691 -0.7690 -6.0557
-1.4852 -6.9775 3.0194

---

! YTiPCl2 PBE-GGA optimized geometry; values from VASP
! - DOS at the Fermi energy: 0.792 states/eV per atom
! - Energy above the most stable polymorph in this dataset: 0 kJ/mol of formula units
&SYSTEM
  ibrav = 0, nat = 5, ntyp = 4
/
ATOMIC_SPECIES
Y 88.91 Y.upf
P 30.97 P.upf
Cl 35.45 Cl.upf
Ti 47.87 Ti.upf
ATOMIC_POSITIONS angstrom
Y -0.7848 3.7407 1.5847
P 1.6629 1.8677 0.5564
Cl -1.0525 0.3370 2.0143
Cl -1.3953 1.5361 -0.9860
Ti 0.0000 0.0000 0.0000
CELL_PARAMETERS angstrom
-2.7905 3.0722 -1.9721
-2.1050 0.6740 4.0285
3.3258 3.7353 1.1129

---

! LiScCr2 PBE-GGA optimized geometry; values from VASP
! - DFT formation energy: 0.501 eV per atom
! - DOS at the Fermi energy: 0.944 states/eV per atom
! - Energy above the most stable polymorph in this dataset: 90 kJ/mol of formula units
&SYSTEM
  ibrav = 0, nat = 4, ntyp = 3
/
ATOMIC_SPECIES
Cr 52.00 Cr.upf
Li 6.94 Li.upf
Sc 44.96 Sc.upf
ATOMIC_POSITIONS angstrom
Cr 1.5005 0.4753 3.5363
Cr 5.4665 1.7317 2.0485
Li 8.2126 2.6016 2.8058
Sc 2.7375 0.8672 0.9353
CELL_PARAMETERS angstrom
5.2026 0.0032 0.0134
4.2555 2.9929 0.0134
1.4920 0.4726 3.7143

---

> Which of these has the highest DOS at the Fermi energy?

TbCe3Sb4